VBrO: single point on PBEsol structure, SCAN.

```
VBrO
1.0
-3.199 -0.786 0.699
-0.106 -2.297 -3.070
2.584 -6.358 4.669
O Br V
2 2 2
Direct
0.500 0.000 0.449
0.000 0.500 0.551
0.500 0.000 0.816
0.000 0.500 0.184
0.500 0.500 0.405
0.000 0.000 0.595
```

Computed properties:
Crystal system   orthorhombic
D(E_F)   0.45 states/eV per cell
Density   4.55 g/cm3
Formation energy from raw total energies   -1956 meV/atom
VASP energy   -16.35 eV per atom

WBr2O2: single point on PBEsol structure, SCAN.

```
WBr2O2
1.0
-0.966 -3.133 -2.042
5.389 1.591 -4.991
5.613 -4.703 4.562
Br O W
4 4 2
Direct
0.002 0.250 0.716
0.002 0.250 0.284
0.998 0.750 0.284
0.998 0.750 0.716
0.515 0.750 0.000
0.000 0.500 0.000
0.485 0.250 0.000
0.000 0.000 0.000
0.054 0.750 0.000
0.946 0.250 0.000
```

Computed properties:
Crystal system   orthorhombic
Density   4.98 g/cm3
Formation energy from raw total energies   -1464 meV/atom
VASP energy   -25.68 eV per atom

WBr2O: single point on PBEsol structure, SCAN.

```
WBr2O
1.0
0.181 -5.087 4.709
-1.023 1.906 -6.589
6.897 0.634 -0.343
O W Br
2 2 4
Direct
0.750 0.250 0.500
0.500 0.500 0.000
0.250 0.750 0.500
0.000 0.000 0.000
0.028 0.875 0.653
0.222 0.375 0.347
0.125 0.778 0.153
0.625 0.972 0.847
```

Computed properties:
Crystal system   tetragonal
D(E_F)   4.59 states/eV per cell
Density   7.08 g/cm3
Formation energy from raw total energies   -739 meV/atom
VASP energy   -29.45 eV per atom